First-principles (PBE) data for a relaxed structure of Tm3ThGa3, as listed in Alexandria.

abc: 4.8030 9.0929 9.0929
angles: 120.00 90.00 90.00
With the nearest neighbours (Å) after each atom.
Element x y z (fractional)
1 Ga 0.7500 0.6156 0.0657  4 Tm 2.91-3.09, 2 Ga 3.02, 1 Th 3.23
2 Tm 0.7500 0.7622 0.7470  4 Ga 2.91-3.09
3 Th 0.2500 0.6667 0.3333  9 Ga 3.23-3.28, 3 Tm 3.59
4 Tm 0.2500 0.0153 0.7622  4 Ga 2.91-3.09
5 Tm 0.2500 0.7470 0.9847  4 Ga 2.91-3.09
6 Ga 0.2500 0.5499 0.6156  4 Tm 2.91-3.09, 2 Ga 3.02, 1 Th 3.23
7 Tm 0.2500 0.2378 0.2530  4 Ga 2.91-3.09
8 Ga 0.2500 0.0657 0.4501  4 Tm 2.91-3.09, 2 Ga 3.02, 1 Th 3.23
9 Tm 0.7500 0.2530 0.0153  4 Ga 2.91-3.09
10 Ga 0.2500 0.3844 0.9343  4 Tm 2.91-3.09, 2 Ga 3.02, 1 Th 3.23
11 Tm 0.7500 0.9847 0.2378  4 Ga 2.91-3.09
12 Th 0.7500 0.3333 0.6667  9 Ga 3.23-3.28, 3 Tm 3.59
13 Ga 0.7500 0.9343 0.5499  4 Tm 2.91-3.09, 2 Ga 3.02, 1 Th 3.23
14 Ga 0.7500 0.4501 0.3844  4 Tm 2.91-3.09, 2 Ga 3.02, 1 Th 3.23

Computed properties:
The uncorrected energy is -65.392 eV for the cell shown. The calculation puts the magnetization at 0.00 μB per formula unit.